No. 1
Below is a relaxed structure of MgSi2Pt, with properties calculated at the GGA-PBE level.

```
MgSi2Pt
1.0
4.140 -1.649 0.000
4.140 1.649 0.000
-1.010 0.000 4.883
Mg Si Pt
1 2 1
direct
0.000 0.000 0.000 Mg
0.515 0.515 0.520 Si
0.763 0.763 0.299 Si
0.245 0.245 0.677 Pt
```

Output
- E_tot: -19.27 eV per formula unit
- Calculated density: 6.862 Mg/m³
- D(E_F): 1.60 states/eV/cell
- ΔE_f (raw): -0.198 eV per atom

---

No. 2
Below is a relaxed structure of Rb2PO2F4, with properties calculated at the GGA-PBE level.

```
Rb2PO2F4
1.0
5.089 -2.933 0.000
5.089 2.933 0.000
-0.462 0.000 4.964
Rb P O F
2 1 2 4
direct
0.177 0.177 0.296 Rb
0.823 0.823 0.704 Rb
0.500 0.500 0.000 P
0.364 0.364 0.806 O
0.636 0.636 0.194 O
0.229 0.644 0.195 F
0.356 0.771 0.805 F
0.644 0.229 0.195 F
0.771 0.356 0.805 F
```

Output
- E_tot: -44.82 eV per formula unit
- Calculated density: 3.472 Mg/m³
- D(E_F): 5.61 states/eV/cell
- ΔE_f (raw): -2.231 eV per atom

---

No. 3
Below is a relaxed structure of Rb2Sn2Pt, with properties calculated at the GGA-PBE level.

```
Rb2Sn2Pt
1.0
7.143 0.000 0.000
0.000 7.143 0.000
0.000 0.000 6.208
Rb Sn Pt
4 4 2
direct
0.183 0.317 0.000 Rb
0.317 0.817 0.000 Rb
0.683 0.183 0.000 Rb
0.817 0.683 0.000 Rb
0.145 0.645 0.500 Sn
0.355 0.145 0.500 Sn
0.645 0.855 0.500 Sn
0.855 0.355 0.500 Sn
0.000 0.000 0.500 Pt
0.500 0.500 0.500 Pt
```

Output
- E_tot: -17.10 eV per formula unit
- Energy of formation from the pure elements: -0.224 eV per atom
- Calculated density: 6.327 Mg/m³
- D(E_F): 5.89 states/eV/cell

---

No. 4
Below is a relaxed structure of SiAg4Pt, with properties calculated at the GGA-PBE level.

```
SiAg4Pt
1.0
0.000 3.806 3.806
3.806 0.000 3.806
3.806 3.806 0.000
Si Ag Pt
1 4 1
direct
0.000 0.000 0.000 Si
0.125 0.625 0.625 Ag
0.625 0.125 0.625 Ag
0.625 0.625 0.125 Ag
0.625 0.625 0.625 Ag
0.250 0.250 0.250 Pt
```

Output
- E_tot: -20.15 eV per formula unit
- Calculated density: 9.861 Mg/m³
- D(E_F): 4.40 states/eV/cell
- ΔE_f (raw): 0.454 eV per atom